Record 1
Cu2TePb | PBE | relaxed

Cell and atoms, written as CIF:
```
data_Cu2TePb
_symmetry_space_group_name_H-M 'C 1 2/m 1'
_symmetry_Int_Tables_number 12
_symmetry_space_group_name_Hall '-C 2y'
_cell_length_a 6.4444
_cell_length_b 6.7675
_cell_length_c 5.2376
_cell_angle_alpha 90.00
_cell_angle_beta 124.73
_cell_angle_gamma 90.00
loop_
_atom_site_label
_atom_site_fract_x
_atom_site_fract_y
_atom_site_fract_z
Cu1 0.2500 0.2500 0.0000
Te1 0.0000 0.0000 0.5000
Pb1 0.0000 0.5000 0.5000
```

Output
- Density of states at the Fermi level: 3.572 states/eV/cell
- Crystal system: monoclinic
- Energy relative to the lowest polymorph listed for this composition: 230 meV per atom
- Total magnetic moment: 0.00 μB per cell
- Raw formation energy: 0.26 eV per atom

***

Record 2
Cu2TePb | PBE | relaxed

Cell and atoms, written as CIF:
```
data_Cu2TePb
_symmetry_space_group_name_H-M 'P 1 2/m 1'
_symmetry_Int_Tables_number 10
_symmetry_space_group_name_Hall '-P 2y'
_cell_length_a 4.1068
_cell_length_b 4.1822
_cell_length_c 5.4858
_cell_angle_alpha 90.00
_cell_angle_beta 90.13
_cell_angle_gamma 90.00
loop_
_atom_site_label
_atom_site_fract_x
_atom_site_fract_y
_atom_site_fract_z
Cu1 0.0058 0.0000 0.2197
Te1 0.0000 0.5000 0.5000
Pb1 0.5000 0.5000 0.0000
```

Output
- Density of states at the Fermi level: 0.934 states/eV/cell
- Crystal system: monoclinic
- Energy relative to the lowest polymorph listed for this composition: 89 meV per atom
- Total magnetic moment: 0.00 μB per cell
- Raw formation energy: 0.12 eV per atom